Entry from the Alexandria database: an optimized crystal structure of KRb2PbF5 (PBE).

a b c (Å): 4.7543 4.7543 9.8929
angles (deg): 90.00 90.00 90.00
Space group P4/mmm (No. 123)
Asymmetric unit:
K1 0.0000 0.0000 0.0000 x1
Rb1 0.5000 0.5000 0.2745 x2
Pb1 0.0000 0.0000 0.5000 x1
F1 0.0000 0.0000 0.2519 x2
F2 0.0000 0.5000 0.5000 x2
F3 0.5000 0.5000 0.0000 x1

As for the formation energy from raw total energies: -2.5333 eV/atom.


Entry from the Alexandria database: an optimized crystal structure of ErTlIn2O6 (PBE).

a b c (Å): 5.6852 5.6852 14.9559
angles (deg): 90.00 90.00 120.00
Space group R3 (No. 146, hexagonal axes)
Asymmetric unit:
Er1 0.0000 0.0000 0.0000 x3
Tl1 0.0000 0.0000 0.5023 x3
In1 0.0000 0.0000 0.2862 x3
In2 0.0000 0.0000 0.7829 x3
O1 0.0137 0.7080 0.3874 x9
O2 0.0179 0.2997 0.8891 x9

As for the formation energy from raw total energies: -1.8204 eV/atom.


Entry from the Alexandria database: an optimized crystal structure of PmMg3Zn3 (PBE).

a b c (Å): 8.4440 4.7362 8.4570
angles (deg): 90.00 119.95 90.00
Space group P2_1/m (No. 11)
Asymmetric unit:
Pm1 0.1670 0.2500 0.3330 x2
Mg1 0.2521 0.2500 0.9794 x2
Mg2 0.2718 0.7500 0.7516 x2
Mg3 0.4799 0.7500 0.2282 x2
Zn1 0.0250 0.2500 0.6037 x2
Zn2 0.1038 0.7500 0.0784 x2
Zn3 0.4208 0.7500 0.5248 x2

The value obtained for the energy of formation from the pure elements is -0.15 eV/atom.


Entry from the Alexandria database: an optimized crystal structure of FeRe3Au (PBE).

a b c (Å): 4.4089 4.4089 4.4089
angles (deg): 90.00 90.00 90.00
Space group Pm-3m (No. 221)
Asymmetric unit:
Fe1 0.0000 0.0000 0.0000 x1
Re1 0.0000 0.0000 0.5000 x3
Au1 0.5000 0.5000 0.5000 x1

The calculation puts the energy above the most stable polymorph in this dataset at 0 meV per atom. The value obtained for the energy of formation from the pure elements is 1.55 eV/atom.


Entry from the Alexandria database: an optimized crystal structure of VPtW3 (PBE).

a b c (Å): 4.4692 4.4692 4.4692
angles (deg): 90.00 90.00 90.00
Space group Pm-3m (No. 221)
Asymmetric unit:
V1 0.0000 0.0000 0.0000 x1
Pt1 0.5000 0.5000 0.5000 x1
W1 0.0000 0.0000 0.5000 x3

The calculation puts the energy above the most stable polymorph in this dataset at 0 meV per atom. The value obtained for the energy of formation from the pure elements is 1.51 eV/atom.


Entry from the Alexandria database: an optimized crystal structure of BaSrSnHg (PBE).

a b c (Å): 8.2987 8.2987 8.2987
angles (deg): 90.00 90.00 90.00
Space group F-43m (No. 216)
Asymmetric unit:
Ba1 0.0000 0.0000 0.0000 x4
Sr1 0.0000 0.0000 0.5000 x4
Sn1 0.2500 0.2500 0.7500 x4
Hg1 0.2500 0.2500 0.2500 x4

The value obtained for the energy of formation from the pure elements is -0.64 eV/atom.